No. 1
A plane-wave DFT calculation with PBE was carried out for crystalline Y4AlCdC2 at its relaxed geometry.

a = 3.5957 Å, b = 3.5957 Å, c = 16.0709 Å
α = 90.00°, β = 90.00°, γ = 120.00°
Closest atoms and distances in Å follow each position.
Positions (direct):
Y: 0.6667 0.3333 0.8411  3 C 2.52
Y: 0.0000 0.0000 0.3283  3 C 2.45
Y: 0.6667 0.3333 0.1589  3 C 2.52
Y: 0.0000 0.0000 0.6717  3 C 2.45
C: 0.3333 0.6667 0.2475  6 Y 2.45-2.52
C: 0.3333 0.6667 0.7525  6 Y 2.45-2.52
Al: 0.0000 0.0000 0.0000  6 Y 3.29, 6 Al 3.60
Cd: 0.6667 0.3333 0.5000  6 Y 3.45, 6 Cd 3.60

Calculated values
Calculated total energy = -51.137 eV for the cell shown
M_tot = 0.12 μB/atom
Symmetry = P-6m2

No. 2
A plane-wave DFT calculation with PBE was carried out for crystalline Al3CoC3 at its relaxed geometry.

a = 3.3676 Å, b = 3.3676 Å, c = 14.5971 Å
α = 90.00°, β = 90.00°, γ = 120.00°
Closest atoms and distances in Å follow each position.
Positions (direct):
Al: 0.6667 0.3333 0.6122  4 C 2.01-2.02
Al: 0.6667 0.3333 0.2500  3 C 1.94
Al: 0.3333 0.6667 0.1122  4 C 2.01-2.02
Al: 0.3333 0.6667 0.7500  3 C 1.94
Al: 0.3333 0.6667 0.3878  4 C 2.01-2.02
Al: 0.6667 0.3333 0.8878  4 C 2.01-2.02
C: 0.6667 0.3333 0.0740  3 Al 2.02, 3 Co 2.22
C: 0.3333 0.6667 0.2500  5 Al 1.94-2.01
C: 0.6667 0.3333 0.4260  3 Al 2.02, 3 Co 2.22
C: 0.3333 0.6667 0.5740  3 Al 2.02, 3 Co 2.22
C: 0.3333 0.6667 0.9260  3 Al 2.02, 3 Co 2.22
C: 0.6667 0.3333 0.7500  5 Al 1.94-2.01
Co: 0.0000 0.0000 0.0000  6 C 2.22
Co: 0.0000 0.0000 0.5000  6 C 2.22

Calculated values
Calculated total energy = -89.070 eV for the cell shown
M_tot = 0.00 μB/atom
Symmetry = P6_3/mmc

No. 3
A plane-wave DFT calculation with PBE was carried out for crystalline AlCo3C at its relaxed geometry.

a = 3.7184 Å, b = 3.7184 Å, c = 3.7184 Å
α = 90.00°, β = 90.00°, γ = 90.00°
Closest atoms and distances in Å follow each position.
Positions (direct):
C: 0.5000 0.5000 0.5000  6 Co 1.86
Co: 0.0000 0.5000 0.5000  2 C 1.86
Co: 0.5000 0.0000 0.5000  2 C 1.86
Co: 0.5000 0.5000 0.0000  2 C 1.86
Al: 0.0000 0.0000 0.0000  12 Co 2.63

Calculated values
Calculated total energy = -35.413 eV for the cell shown
M_tot = 0.00 μB/atom
Symmetry = Pm-3m

No. 4
A plane-wave DFT calculation with PBE was carried out for crystalline Ta3Al2CoC at its relaxed geometry.

a = 8.2026 Å, b = 8.2026 Å, c = 8.2026 Å
α = 120.00°, β = 90.00°, γ = 120.00°
Closest atoms and distances in Å follow each position.
Positions (direct):
Co: 0.0000 0.5000 0.5000  6 Al 2.50
Co: 0.5000 0.0000 0.5000  6 Al 2.50
Co: 0.0000 0.5000 0.0000  6 Al 2.50
Co: 0.0000 0.0000 0.5000  6 Al 2.50
Al: 0.2068 0.9136 0.6204  3 Co 2.50, 3 Al 2.68, 3 Ta 2.77
Al: 0.7932 0.0864 0.7068  3 Co 2.50, 3 Al 2.68, 3 Ta 2.77
Al: 0.1204 0.4136 0.7068  3 Co 2.50, 3 Al 2.68, 3 Ta 2.77
Al: 0.7932 0.0864 0.3796  3 Co 2.50, 3 Al 2.68, 3 Ta 2.77
Al: 0.2068 0.9136 0.2932  3 Co 2.50, 3 Al 2.68, 3 Ta 2.77
Al: 0.8796 0.5864 0.2932  3 Co 2.50, 3 Al 2.68, 3 Ta 2.77
Al: 0.7932 0.4136 0.7068  3 Co 2.50, 3 Al 2.68, 3 Ta 2.77
Al: 0.2068 0.5864 0.2932  3 Co 2.50, 3 Al 2.68, 3 Ta 2.77
Ta: 0.1861 0.2500 0.3139  2 C 2.18
Ta: 0.8139 0.7500 0.6861  2 C 2.18
Ta: 0.5639 0.2500 0.9361  2 C 2.18
Ta: 0.4361 0.3722 0.6861  2 C 2.18
Ta: 0.8139 0.7500 0.0639  2 C 2.18
Ta: 0.1861 0.2500 0.9361  2 C 2.18
Ta: 0.4361 0.7500 0.6861  2 C 2.18
Ta: 0.5639 0.2500 0.3139  2 C 2.18
Ta: 0.4361 0.7500 0.0639  2 C 2.18
Ta: 0.5639 0.6278 0.3139  2 C 2.18
Ta: 0.8139 0.1278 0.0639  2 C 2.18
Ta: 0.1861 0.8722 0.9361  2 C 2.18
C: 0.5000 0.5000 0.0000  6 Ta 2.18
C: 0.5000 0.5000 0.5000  6 Ta 2.18
C: 0.0000 0.0000 0.0000  6 Ta 2.18
C: 0.5000 0.0000 0.0000  6 Ta 2.18

Calculated values
Calculated total energy = -253.739 eV for the cell shown
M_tot = 0.00 μB/atom
Symmetry = Fd-3m

No. 5
A plane-wave DFT calculation with PBE was carried out for crystalline Ta4AlCoC2 at its relaxed geometry.

a = 3.0919 Å, b = 3.0919 Å, c = 13.3921 Å
α = 90.00°, β = 90.00°, γ = 120.00°
Closest atoms and distances in Å follow each position.
Positions (direct):
Ta: 0.0000 0.0000 0.3556  3 C 2.19
Ta: 0.6667 0.3333 0.1661  3 C 2.19
Ta: 0.6667 0.3333 0.8339  3 C 2.19
Ta: 0.0000 0.0000 0.6444  3 C 2.19
C: 0.3333 0.6667 0.7393  6 Ta 2.19
C: 0.3333 0.6667 0.2607  6 Ta 2.19
Al: 0.0000 0.0000 0.0000  6 Ta 2.85, 6 Al 3.09
Co: 0.6667 0.3333 0.5000  6 Ta 2.63

Calculated values
Calculated total energy = -80.104 eV for the cell shown
M_tot = 0.06 μB/atom
Symmetry = P-6m2

No. 6
A plane-wave DFT calculation with PBE was carried out for crystalline Al3CuC at its relaxed geometry.

a = 4.0122 Å, b = 4.0122 Å, c = 4.0122 Å
α = 90.00°, β = 90.00°, γ = 90.00°
Closest atoms and distances in Å follow each position.
Positions (direct):
Al: 0.0000 0.0000 0.5000  2 C 2.01
Al: 0.0000 0.5000 0.0000  2 C 2.01
Al: 0.5000 0.0000 0.0000  2 C 2.01
C: 0.0000 0.0000 0.0000  6 Al 2.01
Cu: 0.5000 0.5000 0.5000  12 Al 2.84

Calculated values
Calculated total energy = -22.749 eV for the cell shown
Symmetry = Pm-3m